Density functional theory data (PBE) for crystalline Cs2UGaTe4 at its relaxed geometry.

Results
Energy ... -4.2498 eV/atom
D(E_F) ... 5.29 states/eV/cell
Size of the total moment ... 3.016 μB/f.u.

Cell: 16.399 14.635 8.782 Å, 85.01 62.75 32.24°
Positions (direct):
Cs1 0.055 0.055 0.695
Cs2 0.305 0.305 0.945
Cs3 0.695 0.695 0.055
Cs4 0.945 0.945 0.305
U1 0.125 0.125 0.125
U2 0.875 0.875 0.875
Ga1 0.375 0.375 0.375
Ga2 0.625 0.625 0.625
Te1 0.002 0.359 0.452
Te2 0.313 0.548 0.641
Te3 0.359 0.002 0.687
Te4 0.452 0.687 0.002
Te5 0.548 0.313 0.998
Te6 0.641 0.998 0.313
Te7 0.687 0.452 0.359
Te8 0.998 0.641 0.548